Record 1
## BeV2O (GGA+U)

Data for BeV2O after structural relaxation.

Properties
space group	Fm-3m, No. 225
energy relative to the lowest polymorph listed for this composition	775	meV/atom
DOS(E_F)	2.95	states/eV/cell
magnetization	0.487	μB per atom

Cell lengths 3.935, 3.935, 3.935 Å; angles 60.00, 60.00, 60.00 degrees
Fractional coordinates of all 4 atoms:
Be: 0.000 0.000 0.000
V: 0.250 0.250 0.250
V: 0.750 0.750 0.750
O: 0.500 0.500 0.500

***

Record 2
## Be3VO (GGA+U)

Data for Be3VO after structural relaxation.

Properties
space group	Pm-3m, No. 221
energy relative to the lowest polymorph listed for this composition	0	meV/atom
DOS(E_F)	0.76	states/eV/cell
magnetization	0.600	μB per atom

Cell lengths 3.667, 3.667, 3.667 Å; angles 90.00, 90.00, 90.00 degrees
Fractional coordinates of all 5 atoms:
Be: 0.000 0.000 0.500
Be: 0.000 0.500 0.000
Be: 0.500 0.000 0.000
V: 0.500 0.500 0.500
O: 0.000 0.000 0.000

***

Record 3
## BeV2O (GGA+U)

Data for BeV2O after structural relaxation.

Properties
space group	I-42d, No. 122
energy relative to the lowest polymorph listed for this composition	0	meV/atom
DOS(E_F)	2.77	states/eV/cell
magnetization	1.402	μB per atom

Cell lengths 5.350, 5.350, 5.350 Å; angles 114.26, 114.26, 100.27 degrees
Fractional coordinates of all 8 atoms:
Be: 0.000 0.000 0.000
Be: 0.750 0.250 0.500
V: 0.191 0.125 0.566
V: 0.375 0.809 0.934
V: 0.559 0.625 0.434
V: 0.875 0.441 0.066
O: 0.250 0.750 0.500
O: 0.500 0.500 0.000

***

Record 4
## BeVWO6 (GGA+U)

Data for BeVWO6 after structural relaxation.

Properties
space group	P-31c, No. 163
DOS(E_F)	4.69	states/eV/cell
total energy	-7.253	eV/atom
magnetization	0.111	μB per atom

Cell lengths 4.815, 4.815, 8.782 Å; angles 90.00, 90.00, 120.00 degrees
Fractional coordinates of all 18 atoms:
Be: 0.333 0.667 0.250
Be: 0.667 0.333 0.750
V: 0.000 0.000 0.000
V: 0.000 0.000 0.500
W: 0.333 0.667 0.750
W: 0.667 0.333 0.250
O: 0.010 0.341 0.131
O: 0.010 0.669 0.369
O: 0.331 0.341 0.369
O: 0.331 0.990 0.131
O: 0.341 0.010 0.631
O: 0.341 0.331 0.869
O: 0.659 0.669 0.131
O: 0.659 0.990 0.369
O: 0.669 0.010 0.869
O: 0.669 0.659 0.631
O: 0.990 0.331 0.631
O: 0.990 0.659 0.869

***

Record 5
## Y2BeVO6 (GGA+U)

Data for Y2BeVO6 after structural relaxation.

Properties
space group	P2_1/c, No. 14
total energy	-8.196	eV/atom
magnetization	0.100	μB per atom

Cell lengths 5.236, 5.500, 8.944 Å; angles 90.00, 125.47, 90.00 degrees
Fractional coordinates of all 20 atoms:
Y: 0.232 0.065 0.249
Y: 0.232 0.435 0.749
Y: 0.768 0.565 0.251
Y: 0.768 0.935 0.751
Be: 0.000 0.000 0.500
Be: 0.000 0.500 0.000
V: 0.500 0.000 0.000
V: 0.500 0.500 0.500
O: 0.149 0.205 0.953
O: 0.149 0.295 0.453
O: 0.248 0.698 0.954
O: 0.248 0.802 0.454
O: 0.333 0.021 0.747
O: 0.333 0.479 0.247
O: 0.667 0.521 0.753
O: 0.667 0.979 0.253
O: 0.752 0.198 0.546
O: 0.752 0.302 0.046
O: 0.851 0.705 0.547
O: 0.851 0.795 0.047

***

Record 6
## Be2VZnO6 (GGA+U)

Data for Be2VZnO6 after structural relaxation.

Properties
space group	C2/c, No. 15
DOS(E_F)	5.66	states/eV/cell
total energy	-6.436	eV/atom
magnetization	0.099	μB per atom

Cell lengths 6.373, 6.373, 5.326 Å; angles 106.90, 106.90, 80.64 degrees
Fractional coordinates of all 20 atoms:
Be: 0.133 0.283 0.220
Be: 0.283 0.133 0.720
Be: 0.717 0.867 0.280
Be: 0.867 0.717 0.780
V: 0.387 0.613 0.750
V: 0.613 0.387 0.250
Zn: 0.215 0.785 0.250
Zn: 0.785 0.215 0.750
O: 0.107 0.203 0.895
O: 0.124 0.612 0.770
O: 0.203 0.107 0.395
O: 0.307 0.479 0.351
O: 0.388 0.876 0.730
O: 0.479 0.307 0.851
O: 0.521 0.693 0.149
O: 0.612 0.124 0.270
O: 0.693 0.521 0.649
O: 0.797 0.893 0.605
O: 0.876 0.388 0.230
O: 0.893 0.797 0.105

***

- What is the magnetization in the sixth record?
  0.099 μB per atom